This record from Alexandria via LeMat-Bulk describes a relaxed structure of CaAsOs2. The functional is PBE.

Unit cell a=5.6234 b=5.6234 c=5.6234 alpha=149.52 beta=128.29 gamma=61.22
Fractional positions:
As (0.5299, 0.5299, 0.0000)
Os (0.9669, 0.9669, 0.0000)
Os (0.7452, 0.2452, 0.5000)
Ca (0.2580, 0.7580, 0.5000)

space-group type: No. 44
volume: 17.5 Å³ per atom

This record from Alexandria via LeMat-Bulk describes a relaxed structure of CaAsOs2. The functional is PBE.

Unit cell a=4.8607 b=5.8416 c=2.7414 alpha=76.44 beta=89.98 gamma=114.58
Fractional positions:
As (0.0000, 0.5000, 0.5000)
Os (0.0000, 0.0000, 0.0000)
Os (0.5000, 0.0000, 0.5000)
Ca (0.5000, 0.5000, 0.0000)

space-group type: No. 12
volume: 17.1 Å³ per atom

This record from Alexandria via LeMat-Bulk describes a relaxed structure of Ca2AsOs. The functional is PBE.

Unit cell a=4.1762 b=4.5024 c=5.6655 alpha=66.58 beta=90.00 gamma=90.00
Fractional positions:
As (0.5000, 0.5685, 0.7379)
Os (0.0000, 0.6819, 0.5115)
Ca (0.0000, 0.9814, 0.9121)
Ca (0.5000, 0.2682, 0.3385)

space-group type: No. 38
volume: 24.4 Å³ per atom

This record from Alexandria via LeMat-Bulk describes a relaxed structure of CaAs3Os. The functional is PBE.

Unit cell a=4.8993 b=4.8993 c=4.8993 alpha=90.00 beta=90.00 gamma=90.00
Fractional positions:
As (0.0000, 0.5000, 0.0000)
As (0.0000, 0.0000, 0.5000)
As (0.5000, 0.0000, 0.0000)
Os (0.0000, 0.0000, 0.0000)
Ca (0.5000, 0.5000, 0.5000)

offset from the most stable computed form: 0.0000 eV/atom
space-group type: No. 221
volume: 23.5 Å³ per atom

This record from Alexandria via LeMat-Bulk describes a relaxed structure of CaAsOs2. The functional is PBE.

Unit cell a=3.0625 b=3.0625 c=7.4207 alpha=90.00 beta=90.00 gamma=90.00
Fractional positions:
As (0.5000, 0.5000, 0.2500)
Os (0.0000, 0.0000, 0.0587)
Os (0.0000, 0.0000, 0.4413)
Ca (0.5000, 0.5000, 0.7500)

space-group type: No. 123
volume: 17.4 Å³ per atom

This record from Alexandria via LeMat-Bulk describes a relaxed structure of Ca2AsOs. The functional is PBE.

Unit cell a=2.8608 b=5.2631 c=5.9404 alpha=90.00 beta=90.00 gamma=90.00
Fractional positions:
As (0.5000, 0.5000, 0.8447)
Os (0.0000, 0.0000, 0.4018)
Ca (0.0000, 0.0000, 0.9103)
Ca (0.5000, 0.5000, 0.3433)

space-group type: No. 25
volume: 22.4 Å³ per atom

This record from Alexandria via LeMat-Bulk describes a relaxed structure of CaAsOs2. The functional is PBE.

Unit cell a=2.9895 b=2.9895 c=7.8560 alpha=90.00 beta=90.00 gamma=90.00
Fractional positions:
As (0.0000, 0.0000, 0.4496)
Os (0.0000, 0.0000, 0.0394)
Os (0.5000, 0.5000, 0.2507)
Ca (0.5000, 0.5000, 0.7604)

space-group type: No. 99
volume: 17.6 Å³ per atom

This record from Alexandria via LeMat-Bulk describes a relaxed structure of CaAs2Os. The functional is PBE.

Unit cell a=7.3719 b=7.3719 c=6.1868 alpha=53.43 beta=53.43 gamma=90.00
Fractional positions:
As (0.7011, 0.1250, 0.2500)
As (0.0489, 0.6250, 0.2500)
As (0.3750, 0.2989, 0.7500)
As (0.8750, 0.9511, 0.7500)
Os (0.0000, 0.0000, 0.0000)
Os (0.7500, 0.2500, 0.5000)
Ca (0.5000, 0.5000, 0.0000)
Ca (0.2500, 0.7500, 0.5000)

offset from the most stable computed form: 0.1959 eV/atom
space-group type: No. 122
volume: 22.6 Å³ per atom

This record from Alexandria via LeMat-Bulk describes a relaxed structure of Ca2AsOs. The functional is PBE.

Unit cell a=5.2000 b=5.2000 c=5.2000 alpha=129.37 beta=129.32 gamma=74.46
Fractional positions:
As (0.2500, 0.7500, 0.5000)
Os (0.7500, 0.2500, 0.5000)
Ca (0.9999, 0.9999, 0.0000)
Ca (0.5001, 0.5001, 0.0000)

space-group type: No. 139
volume: 20.5 Å³ per atom

This record from Alexandria via LeMat-Bulk describes a relaxed structure of CaAsOs2. The functional is PBE.

Unit cell a=5.3731 b=5.3731 c=5.3731 alpha=137.84 beta=137.84 gamma=61.15
Fractional positions:
As (0.2500, 0.7500, 0.5000)
Os (0.0000, 0.0000, 0.0000)
Os (0.5000, 0.5000, 0.0000)
Ca (0.7500, 0.2500, 0.5000)

space-group type: No. 139
volume: 17.3 Å³ per atom

This record from Alexandria via LeMat-Bulk describes a relaxed structure of CaAs2Os. The functional is PBE.

Unit cell a=4.2201 b=4.2201 c=5.6075 alpha=67.95 beta=67.95 gamma=59.89
Fractional positions:
As (0.9695, 0.9695, 0.0914)
As (0.5305, 0.5305, 0.4086)
Os (0.2500, 0.2500, 0.2500)
Ca (0.7500, 0.7500, 0.7500)

offset from the most stable computed form: 0.0000 eV/atom
space-group type: No. 12
volume: 19.5 Å³ per atom

This record from Alexandria via LeMat-Bulk describes a relaxed structure of Ca2AsOs. The functional is PBE.

Unit cell a=5.2928 b=5.2928 c=3.0693 alpha=90.00 beta=90.00 gamma=105.47
Fractional positions:
As (0.0000, 0.5000, 0.5000)
Os (0.5000, 0.0000, 0.5000)
Ca (0.0000, 0.0000, 0.0000)
Ca (0.5000, 0.5000, 0.0000)

space-group type: No. 65
volume: 20.7 Å³ per atom

| no. | uncorrected energy (eV/atom) |
| --- | --- |
| 1 | -6.87 |
| 2 | -6.79 |
| 3 | -5.26 |
| 4 | -5.26 |
| 5 | -6.79 |
| 6 | -4.72 |
| 7 | -7.12 |
| 8 | -5.84 |
| 9 | -4.92 |
| 10 | -6.68 |
| 11 | -6.03 |
| 12 | -4.96 |